Entry from Alexandria via LeMat-Bulk: an optimized crystal structure of Pm3SbTe6 (GGA-PBE).

abc: 9.7499 9.7499 7.6430
angles: 90.00 90.00 103.00
Closest atoms and distances in Å follow each position.
Atoms (fractional coordinates):
Pm 0.0919 0.9081 0.5000  7 Te 3.19-3.29
Pm 0.2205 0.4178 0.3813  7 Te 3.13-3.35
Pm 0.4178 0.2205 0.8813  7 Te 3.13-3.35
Pm 0.5822 0.7795 0.3813  7 Te 3.13-3.35
Pm 0.7795 0.5822 0.8813  7 Te 3.13-3.35
Pm 0.9081 0.0919 0.0000  7 Te 3.19-3.29
Sb 0.3231 0.6769 0.8699  4 Te 2.90-3.23
Sb 0.6769 0.3231 0.3699  4 Te 2.90-3.23
Te 0.0665 0.5964 0.6664  1 Sb 2.90, 1 Pm 3.22
Te 0.1283 0.2041 0.6947  4 Pm 3.13-3.19
Te 0.2041 0.1283 0.1947  4 Pm 3.13-3.19
Te 0.2648 0.7352 0.2420  1 Sb 2.98, 3 Pm 3.21-3.29
Te 0.4036 0.9335 0.6664  1 Sb 2.90, 1 Pm 3.22
Te 0.4953 0.5047 0.6242  4 Pm 3.21-3.34, 2 Sb 3.23-3.39
Te 0.5047 0.4953 0.1242  4 Pm 3.21-3.34, 2 Sb 3.23-3.39
Te 0.5964 0.0665 0.1664  1 Sb 2.90, 1 Pm 3.22
Te 0.7352 0.2648 0.7420  1 Sb 2.98, 3 Pm 3.21-3.29
Te 0.7959 0.8717 0.6947  4 Pm 3.13-3.19
Te 0.8717 0.7959 0.1947  4 Pm 3.13-3.19
Te 0.9335 0.4036 0.1664  1 Sb 2.90, 1 Pm 3.22

Properties
As for the total DFT energy (no corrections): -4.7763 eV per atom. For the raw formation energy, the calculation gives -10.54 eV/f.u. The crystal system is orthorhombic.